## BiPd2Pb4 (PBE)

Data for crystalline BiPd2Pb4 at its relaxed geometry.

The formation energy comes out at -0.128 eV per atom. The volume is 27.82 Å³/atom.

It has space group R-3m (No. 166, hexagonal axes), with a = 4.7842 Å, b = 4.7842 Å, c = 29.4770 Å, α = 90.00°, β = 90.00° and γ = 120.00°. The asymmetric unit holds Bi at (0.0000, 0.0000, 0.0000), Pd at (0.0000, 0.0000, 0.1015), Pb at (0.0000, 0.0000, 0.2002) and Pb at (0.0000, 0.0000, 0.3950).



## Sc2RuCl (PBE)

Data for crystalline Sc2RuCl at its relaxed geometry.

For the formation energy from raw total energies, the calculation gives -367 meV per atom. The volume is 18.12 Å³/atom.

It has space group Fm-3m (No. 225), with a = 6.619 Å, b = 6.619 Å, c = 6.619 Å, α = 90.00°, β = 90.00° and γ = 90.00°. The asymmetric unit holds Sc at (0.250, 0.250, 0.250), Ru at (0.000, 0.000, 0.000) and Cl at (0.000, 0.000, 0.500).



## InGaCoRu (PBE)

Data for crystalline InGaCoRu at its relaxed geometry.

The formation energy comes out at -0.033 eV per atom. The volume is 14.62 Å³/atom.

It has space group F-43m (No. 216), with a = 6.162 Å, b = 6.162 Å, c = 6.162 Å, α = 90.00°, β = 90.00° and γ = 90.00°. The asymmetric unit holds In at (0.000, 0.000, 0.000), Ga at (0.000, 0.000, 0.500), Co at (0.250, 0.250, 0.750) and Ru at (0.250, 0.250, 0.250).



## TmScGa (PBE)

Data for crystalline TmScGa at its relaxed geometry.

The formation energy comes out at -0.387 eV per atom. The volume is 22.88 Å³/atom.

It has space group I4mm (No. 107), with a = 3.305 Å, b = 3.305 Å, c = 12.570 Å, α = 90.00°, β = 90.00° and γ = 90.00°. The asymmetric unit holds Tm at (0.000, 0.000, 0.000), Sc at (0.000, 0.000, 0.299) and Ga at (0.000, 0.000, 0.658).



## Pa3Ge5N12 (PBE)

Data for crystalline Pa3Ge5N12 at its relaxed geometry.

For the formation energy from raw total energies, the calculation gives -542 meV per atom. The volume is 12.09 Å³/atom.

It has space group Ia-3d (No. 230), with a = 12.461 Å, b = 12.461 Å, c = 12.461 Å, α = 90.00°, β = 90.00° and γ = 90.00°. The asymmetric unit holds Pa at (0.000, 0.250, 0.125), Ge at (0.000, 0.000, 0.000), Ge at (0.000, 0.250, 0.375) and N at (0.026, 0.055, 0.651).



## MgMo2Pb (PBE)

Data for crystalline MgMo2Pb at its relaxed geometry.

The formation energy comes out at 0.339 eV per atom. The volume is 21.09 Å³/atom.

It has space group R3m (No. 160, hexagonal axes), with a = 3.1893 Å, b = 3.1893 Å, c = 28.7270 Å, α = 90.00°, β = 90.00° and γ = 120.00°. The asymmetric unit holds Mg at (0.0000, 0.0000, 0.0000), Mo at (0.0000, 0.0000, 0.4757), Mo at (0.0000, 0.0000, 0.7500) and Pb at (0.0000, 0.0000, 0.2360).



## CaYTl (PBE)

Data for crystalline CaYTl at its relaxed geometry.

The formation energy comes out at -0.228 eV per atom. The volume is 31.07 Å³/atom.

It has space group Cm (No. 8), with a = 12.120 Å, b = 5.282 Å, c = 6.948 Å, α = 90.00°, β = 123.04° and γ = 90.00°. The asymmetric unit holds Ca at (0.000, 0.000, 0.000), Ca at (0.224, 0.500, 0.397), Y at (0.127, 0.500, 0.791), Y at (0.357, 0.000, 0.197), Tl at (0.024, 0.000, 0.493) and Tl at (0.334, 0.000, 0.720).



## CdCuPd5 (PBE)

Data for crystalline CdCuPd5 at its relaxed geometry.

The formation energy comes out at 0.279 eV per atom. The volume is 18.51 Å³/atom.

It has space group Imm2 (No. 44), with a = 5.151 Å, b = 6.909 Å, c = 7.280 Å, α = 90.00°, β = 90.00° and γ = 90.00°. The asymmetric unit holds Cd at (0.000, 0.000, 0.000), Cu at (0.000, 0.500, 0.858), Pd at (0.000, 0.000, 0.352), Pd at (0.000, 0.314, 0.543) and Pd at (0.243, 0.500, 0.182).



What electronic total energy values result from the calculations? In sequence: -90.0 -101.0 -89.1 -30.0 -1298.6 -76.8 -46.1 -58.0 eV per cell.